Material: SbPbAu4
Method: DFT, meta-GGA SCAN
State: single point on PBEsol structure

Properties
- energy (eV/atom) = -64.935

Cell and atoms, written as CIF:
```
data_SbPbAu4
_chemical_formula_sum 'Sb1 Pb1 Au4'
_space_group_name_H-M_alt 'P 1'
_space_group_IT_number 1
_cell_length_a 5.584
_cell_length_b 5.584
_cell_length_c 5.584
_cell_angle_alpha 60.00
_cell_angle_beta 60.00
_cell_angle_gamma 60.00
loop_
_space_group_symop_operation_xyz
'x,y,z'
loop_
_atom_site_label
_atom_site_type_symbol
_atom_site_fract_x
_atom_site_fract_y
_atom_site_fract_z
Pb1 Pb 0.750 0.750 0.750
Au1 Au 0.875 0.375 0.375
Au2 Au 0.375 0.375 0.875
Au3 Au 0.375 0.875 0.375
Au4 Au 0.375 0.375 0.375
Sb1 Sb 0.000 0.000 0.000
```


Material: SbPb2Au2
Method: DFT, meta-GGA SCAN
State: single point on PBEsol structure

Properties
- offset from the most stable computed form (meV/atom) = 221.2

Cell and atoms, written as CIF:
```
data_SbPb2Au2
_chemical_formula_sum 'Sb1 Pb2 Au2'
_space_group_name_H-M_alt 'P 1'
_space_group_IT_number 1
_cell_length_a 4.499
_cell_length_b 4.499
_cell_length_c 7.014
_cell_angle_alpha 108.71
_cell_angle_beta 108.71
_cell_angle_gamma 90.00
loop_
_space_group_symop_operation_xyz
'x,y,z'
loop_
_atom_site_label
_atom_site_type_symbol
_atom_site_fract_x
_atom_site_fract_y
_atom_site_fract_z
Au1 Au 0.397 0.397 0.793
Au2 Au 0.603 0.603 0.207
Pb1 Pb 0.250 0.750 0.500
Pb2 Pb 0.750 0.250 0.500
Sb1 Sb 0.000 0.000 0.000
```


Material: SbPb2Au2
Method: DFT, meta-GGA SCAN
State: single point on PBEsol structure

Properties
- offset from the most stable computed form (meV/atom) = 0.0

Cell and atoms, written as CIF:
```
data_SbPb2Au2
_chemical_formula_sum 'Sb2 Pb4 Au4'
_space_group_name_H-M_alt 'P 1'
_space_group_IT_number 1
_cell_length_a 4.360
_cell_length_b 7.444
_cell_length_c 7.444
_cell_angle_alpha 90.00
_cell_angle_beta 90.00
_cell_angle_gamma 90.00
loop_
_space_group_symop_operation_xyz
'x,y,z'
loop_
_atom_site_label
_atom_site_type_symbol
_atom_site_fract_x
_atom_site_fract_y
_atom_site_fract_z
Au1 Au 0.000 0.133 0.367
Au2 Au 0.000 0.633 0.133
Au3 Au 0.000 0.867 0.633
Au4 Au 0.000 0.367 0.867
Sb1 Sb 0.000 0.500 0.500
Sb2 Sb 0.000 0.000 0.000
Pb1 Pb 0.500 0.831 0.331
Pb2 Pb 0.500 0.669 0.831
Pb3 Pb 0.500 0.331 0.169
Pb4 Pb 0.500 0.169 0.669
```


Material: SbTe2PbAu
Method: DFT, meta-GGA SCAN
State: single point on PBEsol structure

Properties
- energy (eV/atom) = -51.046

Cell and atoms, written as CIF:
```
data_SbTe2PbAu
_chemical_formula_sum 'Sb1 Te2 Pb1 Au1'
_space_group_name_H-M_alt 'P 1'
_space_group_IT_number 1
_cell_length_a 5.222
_cell_length_b 5.441
_cell_length_c 5.441
_cell_angle_alpha 90.00
_cell_angle_beta 90.00
_cell_angle_gamma 90.00
loop_
_space_group_symop_operation_xyz
'x,y,z'
loop_
_atom_site_label
_atom_site_type_symbol
_atom_site_fract_x
_atom_site_fract_y
_atom_site_fract_z
Pb1 Pb 0.500 0.500 0.500
Sb1 Sb 0.500 0.000 0.000
Te1 Te 0.000 0.500 0.000
Te2 Te 0.000 0.000 0.500
Au1 Au 0.000 0.000 0.000
```


Material: Ti2SbPbAu
Method: DFT, meta-GGA SCAN
State: single point on PBEsol structure

Properties
- energy (eV/atom) = -41.953

Cell and atoms, written as CIF:
```
data_Ti2SbPbAu
_chemical_formula_sum 'Ti2 Sb1 Pb1 Au1'
_space_group_name_H-M_alt 'P 1'
_space_group_IT_number 1
_cell_length_a 4.999
_cell_length_b 4.999
_cell_length_c 5.660
_cell_angle_alpha 90.00
_cell_angle_beta 90.00
_cell_angle_gamma 90.00
loop_
_space_group_symop_operation_xyz
'x,y,z'
loop_
_atom_site_label
_atom_site_type_symbol
_atom_site_fract_x
_atom_site_fract_y
_atom_site_fract_z
Ti1 Ti 0.000 0.500 0.000
Ti2 Ti 0.500 0.000 0.000
Au1 Au 0.500 0.500 0.500
Pb1 Pb 0.000 0.000 0.500
Sb1 Sb 0.000 0.000 0.000
```


Material: Sc2PbAu
Method: DFT, meta-GGA SCAN
State: single point on PBEsol structure

Properties
- energy relative to the elements (meV/atom) = -345

Cell and atoms, written as CIF:
```
data_Sc2PbAu
_chemical_formula_sum 'Sc2 Pb1 Au1'
_space_group_name_H-M_alt 'P 1'
_space_group_IT_number 1
_cell_length_a 3.524
_cell_length_b 3.524
_cell_length_c 9.728
_cell_angle_alpha 79.57
_cell_angle_beta 79.57
_cell_angle_gamma 60.00
loop_
_space_group_symop_operation_xyz
'x,y,z'
loop_
_atom_site_label
_atom_site_type_symbol
_atom_site_fract_x
_atom_site_fract_y
_atom_site_fract_z
Au1 Au 0.500 0.500 0.500
Sc1 Sc 0.897 0.897 0.310
Sc2 Sc 0.103 0.103 0.690
Pb1 Pb 0.000 0.000 0.000
```


no.,density of states at the Fermi level (states/eV/cell)
1,1.8
2,1.9
3,3.7
4,3.9
5,4.6
6,2.8